Material: Ca4NiBr
Method: DFT, GGA-PBEsol
State: relaxed

Summary:
Its density of states at the Fermi level is 1.1925 states/eV/atom. As for the space group: No. 216. The calculated total energy is -2.27 eV/atom. As for the formation energy without anion corrections: 2.9 eV/f.u. Its calculated density is 2.5 Mg/m³.

```
Ca4NiBr
1.0
6.554 0.000 0.000
3.277 5.676 0.000
3.277 1.892 5.352
Br Ca Ni
1 4 1
Cartesian
0.000 0.000 0.000
4.927 2.845 2.012
6.554 3.784 4.668
8.181 2.845 2.012
6.554 5.663 2.012
9.831 5.676 4.014
```


Material: MnFe5
Method: DFT, GGA-PBEsol
State: relaxed

Summary:
Its density of states at the Fermi level is 1.1735 states/eV/atom. For the formation energy from the elements, the calculation gives -8 kJ/mol of formula units. As for the space group: No. 38. The calculated total energy is -9.11 eV/atom. Its calculated density is 9.4 Mg/m³.

```
MnFe5
1.0
-0.021 -0.571 2.365
1.335 -3.504 -0.834
5.932 2.407 -0.617
Fe Mn
5 1
Cartesian
0.000 0.000 0.000
3.945 1.413 0.377
1.965 0.422 1.371
5.930 0.133 0.085
3.955 -0.856 1.080
1.975 -1.283 -0.292
```


Material: Hf2FeTe2
Method: DFT, GGA-PBEsol
State: relaxed

Summary:
Its density of states at the Fermi level is 0.9372 states/eV/atom. As for the space group: No. 139. The calculated total energy is -6.83 eV/atom. As for the formation energy without anion corrections: 2.9 eV/f.u. Its calculated density is 9.5 Mg/m³.

```
Hf2FeTe2
1.0
4.080 0.000 0.000
0.000 4.080 0.000
-2.040 -2.040 7.029
Te Hf Fe
2 2 1
Cartesian
0.000 2.040 3.514
2.040 0.000 3.514
0.000 0.000 5.634
2.040 2.040 1.395
0.000 0.000 0.000
```


Material: Y2HgSb
Method: DFT, GGA-PBEsol
State: relaxed

Summary:
Its density of states at the Fermi level is 1.0491 states/eV/atom. As for the space group: No. 225. The calculated total energy is -5.40 eV/atom. As for the formation energy without anion corrections: -2.8 eV/f.u. Its offset from the most stable computed form is 138 meV per atom. Its calculated density is 8.3 Mg/m³.

```
Y2HgSb
1.0
-0.082 -2.997 -4.266
-2.489 -4.581 0.080
-4.434 -0.605 -2.676
Hg Sb Y
1 1 2
Cartesian
0.000 0.000 0.000
-3.502 -4.092 -3.431
-1.751 -2.046 -1.716
-5.253 -6.138 -5.147
```


Q: Look up the calculated total energy of the third one.
A: -6.83 eV/atom